P.
Entry from the Alexandria database: crystalline B5C7 at its relaxed geometry (PBE).

- size of the total moment (μB per cell) = 0.4
- D(E_F) (states/eV/atom) = 0.14

Cell lengths 6.4496, 6.4496, 4.9789 Å; angles 102.27, 102.27, 23.10 degrees
Last column: magnetic moment on the atom in μB.
Sites, in units of the cell vectors:
C1 0.6660 0.6660 0.8301  0.00
C2 0.6591 0.6591 0.3268  0.00
B1 0.0196 0.0196 0.4990  0.00
B2 0.9290 0.9290 0.1875  0.00
B3 0.3268 0.3268 0.1458  -0.09
C3 0.3268 0.3268 0.6862  -0.03
C4 0.0171 0.0171 0.9819  0.00
B4 0.2399 0.2399 0.3889  -0.08
B5 0.9000 0.9000 0.7580  -0.01
C5 0.2356 0.2356 0.8675  -0.03
C6 0.5918 0.5918 0.5457  -0.01
C7 0.5882 0.5882 0.0326  0.00

Q.
Entry from the Alexandria database: crystalline B5C7 at its relaxed geometry (PBE).

- size of the total moment (μB per cell) = 0.0
- D(E_F) (states/eV/atom) = 0.14

Cell lengths 7.0514, 7.2260, 7.2260 Å; angles 159.27, 141.94, 43.86 degrees
Sites, in units of the cell vectors:
B1 0.6314 0.3141 0.3173
C1 0.1353 0.4574 0.6779
C2 0.0219 0.9965 0.0254
C3 0.1180 0.7995 0.3184
B2 0.5120 0.1487 0.3633
B3 0.1173 0.1152 0.0021
C4 0.4945 0.5010 0.9935
C5 0.6166 0.6149 0.0017
B4 0.6407 0.9552 0.6855
C6 0.0044 0.3385 0.6659
B5 0.9843 0.6790 0.3053
C7 0.4737 0.8300 0.6438

The data favor Q; the next most stable structure lies 31 meV per atom above it.

P.
Entry from the Alexandria database: crystalline RbCaTa at its relaxed geometry (PBE).

- size of the total moment (μB per cell) = 7.6
- D(E_F) (states/eV/atom) = 1.09

Cell lengths 6.0390, 6.0390, 6.8968 Å; angles 90.00, 90.00, 120.00 degrees
Last column: magnetic moment on the atom in μB.
Sites, in units of the cell vectors:
Rb1 0.0000 0.0000 0.0000  0.04
Ta1 0.6667 0.3333 0.7500  1.98
Ca1 0.3333 0.6667 0.7500  0.12
Ca2 0.6667 0.3333 0.2500  0.12
Rb2 0.0000 0.0000 0.5000  0.04
Ta2 0.3333 0.6667 0.2500  1.98

Q.
Entry from the Alexandria database: crystalline RbCaTa at its relaxed geometry (PBE).

- size of the total moment (μB per cell) = 1.6
- D(E_F) (states/eV/atom) = 1.41

Cell lengths 3.9705, 3.9705, 14.6613 Å; angles 90.00, 90.00, 90.00 degrees
Last column: magnetic moment on the atom in μB.
Sites, in units of the cell vectors:
Ta1 0.5000 0.0000 0.0263  0.16
Ca1 0.0000 0.0000 0.5000  0.11
Ta2 0.0000 0.5000 0.9737  0.16
Ca2 0.5000 0.5000 0.5000  0.11
Rb1 0.0000 0.5000 0.2282  0.02
Rb2 0.5000 0.0000 0.7718  0.02

The data favor Q; the next most stable structure lies 320 meV per atom above it.

P.
Entry from the Alexandria database: crystalline TaAuO2 at its relaxed geometry (PBE).

- size of the total moment (μB per cell) = 0.0
- D(E_F) (states/eV/atom) = 0.80

Cell lengths 4.0667, 4.0667, 4.0667 Å; angles 60.00, 60.00, 60.00 degrees
Sites, in units of the cell vectors:
O1 0.7500 0.7500 0.7500
Ta1 0.0000 0.0000 0.0000
O2 0.2500 0.2500 0.2500
Au1 0.5000 0.5000 0.5000

Q.
Entry from the Alexandria database: crystalline TaAuO2 at its relaxed geometry (PBE).

- size of the total moment (μB per cell) = 0.0
- D(E_F) (states/eV/atom) = 0.79

Cell lengths 7.4124, 7.4124, 7.4124 Å; angles 23.83, 23.83, 23.83 degrees
Sites, in units of the cell vectors:
O1 0.0867 0.0867 0.0867
Ta1 0.0000 0.0000 0.0000
Au1 0.5000 0.5000 0.5000
O2 0.9133 0.9133 0.9133

The data favor Q; the next most stable structure lies 145 meV per atom above it.

P.
Entry from the Alexandria database: crystalline GeP2SeO at its relaxed geometry (PBE).

- size of the total moment (μB per cell) = 0.0
- D(E_F) (states/eV/atom) = 0.73

Cell lengths 4.8734, 4.8734, 3.7325 Å; angles 90.00, 90.00, 90.00 degrees
Sites, in units of the cell vectors:
Ge1 0.5000 0.5000 0.5000
O1 0.0000 0.0000 0.5000
P1 0.0000 0.5000 0.0000
Se1 0.0000 0.0000 0.0000
P2 0.5000 0.0000 0.0000

Q.
Entry from the Alexandria database: crystalline GeP2SeO at its relaxed geometry (PBE).

- size of the total moment (μB per cell) = 0.0
- D(E_F) (states/eV/atom) = 0.63

Cell lengths 4.8722, 4.8722, 3.5883 Å; angles 90.00, 90.00, 90.00 degrees
Sites, in units of the cell vectors:
O1 0.0000 0.0000 0.5000
Ge1 0.0000 0.0000 0.0000
P1 0.5000 0.0000 0.0000
P2 0.0000 0.5000 0.0000
Se1 0.5000 0.5000 0.5000

The data favor Q; the next most stable structure lies 231 meV per atom above it.